a | An optimized crystal structure of CuRu2, computed with PBE-GGA.

Cell lengths 2.6980, 2.6980, 6.4854 Å; angles 90.00, 90.00, 120.00 degrees
With the nearest neighbours (Å) after each atom.
Element x y z (fractional)
Ru (0.3333, 0.6667, 0.1602)  9 Ru 2.60-2.70, 3 Cu 2.70
Ru (0.6667, 0.3333, 0.8398)  9 Ru 2.60-2.70, 3 Cu 2.70
Cu (0.0000, 0.0000, 0.5000)  6 Cu 2.70, 6 Ru 2.70

=====

b | An optimized crystal structure of CuRu2, computed with PBE-GGA.

Cell lengths 4.2643, 4.2643, 5.1465 Å; angles 90.00, 90.00, 120.00 degrees
With the nearest neighbours (Å) after each atom.
Element x y z (fractional)
Cu (0.3333, 0.6667, 0.2500)  5 Ru 2.46-2.57
Cu (0.6667, 0.3333, 0.7500)  5 Ru 2.46-2.57
Ru (0.6667, 0.3333, 0.2500)  5 Cu 2.46-2.57
Ru (0.0000, 0.0000, 0.0000)  8 Ru 2.57-2.78, 6 Cu 2.78
Ru (0.3333, 0.6667, 0.7500)  5 Cu 2.46-2.57
Ru (0.0000, 0.0000, 0.5000)  8 Ru 2.57-2.78, 6 Cu 2.78

=====

Which structure is the most stable? The one labeled a.

=====

a | An optimized crystal structure of CuRu2, computed with PBE-GGA.

Cell lengths 4.2065, 4.2065, 2.6253 Å; angles 90.00, 90.00, 90.00 degrees
With the nearest neighbours (Å) after each atom.
Element x y z (fractional)
Cu (0.0000, 0.0000, 0.0000)  8 Ru 2.48, 2 Cu 2.63
Ru (0.0000, 0.5000, 0.5000)  4 Cu 2.48, 2 Ru 2.63
Ru (0.5000, 0.0000, 0.5000)  4 Cu 2.48, 2 Ru 2.63

=====

b | An optimized crystal structure of CuRu2, computed with PBE-GGA.

Cell lengths 12.1634, 12.1634, 12.1634 Å; angles 167.55, 167.55, 17.64 degrees
With the nearest neighbours (Å) after each atom.
Element x y z (fractional)
Ru (0.3309, 0.8309, 0.5000)  6 Ru 2.50-2.64, 4 Cu 2.69
Ru (0.4191, 0.4191, 0.0000)  6 Ru 2.50-2.64, 4 Cu 2.69
Ru (0.1691, 0.6691, 0.5000)  6 Ru 2.50-2.64, 4 Cu 2.69
Cu (0.7500, 0.2500, 0.5000)  4 Cu 2.64, 8 Ru 2.69
Ru (0.5809, 0.5809, 0.0000)  6 Ru 2.50-2.64, 4 Cu 2.69
Cu (0.0000, 0.0000, 0.0000)  4 Cu 2.64, 8 Ru 2.69

=====

c | An optimized crystal structure of CuRu2, computed with PBE-GGA.

Cell lengths 4.5946, 4.5946, 4.5946 Å; angles 145.30, 132.84, 59.86 degrees
With the nearest neighbours (Å) after each atom.
Element x y z (fractional)
Cu (0.0000, 0.0000, 0.0000)  10 Ru 2.63-2.66, 2 Cu 2.74
Ru (0.6701, 0.6701, 0.0000)  7 Ru 2.62-2.74, 5 Cu 2.63-2.66
Ru (0.3299, 0.3299, 0.0000)  7 Ru 2.62-2.74, 5 Cu 2.63-2.66

=====

Which structure is the most stable? The one labeled c.

=====

a | An optimized crystal structure of CuRu2, computed with PBE-GGA.

Cell lengths 4.3095, 4.3095, 2.5913 Å; angles 90.00, 90.00, 120.00 degrees
With the nearest neighbours (Å) after each atom.
Element x y z (fractional)
Ru (0.6667, 0.3333, 0.5000)  5 Ru 2.49-2.59
Ru (0.3333, 0.6667, 0.5000)  5 Ru 2.49-2.59
Cu (0.0000, 0.0000, 0.0000)  2 Cu 2.59, 12 Ru 2.81

=====

b | An optimized crystal structure of CuRu2, computed with PBE-GGA.

Cell lengths 5.0919, 5.0919, 6.2821 Å; angles 75.58, 75.58, 31.04 degrees
With the nearest neighbours (Å) after each atom.
Element x y z (fractional)
Ru (0.6634, 0.6634, 0.6693)  8 Ru 2.59-2.72, 4 Cu 2.70-2.72
Cu (0.3378, 0.3378, 0.3323)  4 Cu 2.60-2.72, 8 Ru 2.64-2.73
Ru (0.9480, 0.9480, 0.6115)  9 Ru 2.62-2.72, 3 Cu 2.64-2.66
Ru (0.6195, 0.6195, 0.2756)  7 Ru 2.62-2.72, 5 Cu 2.64-2.70
Cu (0.9941, 0.9941, 0.0075)  4 Cu 2.60-2.72, 8 Ru 2.63-2.72
Ru (0.2704, 0.2704, 0.9371)  8 Ru 2.59-2.72, 4 Cu 2.63-2.73

=====

c | An optimized crystal structure of CuRu2, computed with PBE-GGA.

Cell lengths 2.7447, 5.7208, 2.7447 Å; angles 76.12, 90.00, 103.88 degrees
With the nearest neighbours (Å) after each atom.
Element x y z (fractional)
Ru (0.6702, 0.3404, 0.3298)  8 Ru 2.59-2.74, 4 Cu 2.67
Cu (0.0000, 0.0000, 0.0000)  8 Ru 2.67, 4 Cu 2.74
Ru (0.3298, 0.6596, 0.6702)  8 Ru 2.59-2.74, 4 Cu 2.67

=====

d | An optimized crystal structure of CuRu2, computed with PBE-GGA.

Cell lengths 2.7041, 2.7041, 19.3777 Å; angles 90.00, 90.00, 120.00 degrees
With the nearest neighbours (Å) after each atom.
Element x y z (fractional)
Cu (0.6667, 0.3333, 0.7116)  6 Ru 2.68-2.71, 6 Cu 2.70
Cu (0.3333, 0.6667, 0.0450)  6 Ru 2.68-2.71, 6 Cu 2.70
Ru (0.3333, 0.6667, 0.2637)  9 Ru 2.58-2.70, 3 Cu 2.71
Ru (0.6667, 0.3333, 0.9304)  9 Ru 2.58-2.70, 3 Cu 2.71
Cu (0.0000, 0.0000, 0.3783)  6 Ru 2.68-2.71, 6 Cu 2.70
Ru (0.3333, 0.6667, 0.4909)  9 Ru 2.58-2.70, 3 Cu 2.68
Ru (0.0000, 0.0000, 0.5971)  9 Ru 2.58-2.70, 3 Cu 2.71
Ru (0.0000, 0.0000, 0.8243)  9 Ru 2.58-2.70, 3 Cu 2.68
Ru (0.6667, 0.3333, 0.1576)  9 Ru 2.58-2.70, 3 Cu 2.68

=====

Which structure is the most stable? The one labeled d.

=====

a | An optimized crystal structure of CuRu5, computed with PBE-GGA.

Cell lengths 4.9540, 4.9540, 4.5006 Å; angles 90.00, 90.00, 120.00 degrees
With the nearest neighbours (Å) after each atom.
Element x y z (fractional)
Ru (0.6667, 0.3333, 0.0000)  9 Ru 2.67-2.86, 3 Cu 2.86
Ru (0.5000, 0.0000, 0.5000)  8 Ru 2.48-2.67
Cu (0.0000, 0.0000, 0.0000)  6 Ru 2.86
Ru (0.3333, 0.6667, 0.0000)  9 Ru 2.67-2.86, 3 Cu 2.86
Ru (0.0000, 0.5000, 0.5000)  8 Ru 2.48-2.67
Ru (0.5000, 0.5000, 0.5000)  8 Ru 2.48-2.67

=====

b | An optimized crystal structure of CuRu5, computed with PBE-GGA.

Cell lengths 2.7874, 4.3324, 7.2014 Å; angles 107.51, 90.00, 90.00 degrees
With the nearest neighbours (Å) after each atom.
Element x y z (fractional)
Ru (0.5000, 0.5000, 0.0000)  4 Cu 2.58, 2 Ru 2.79
Ru (0.5000, 0.1476, 0.2952)  2 Cu 2.46, 6 Ru 2.64-2.65
Ru (0.0000, 0.6887, 0.3773)  12 Ru 2.64-2.94
Cu (0.0000, 0.0000, 0.0000)  8 Ru 2.46-2.58
Ru (0.0000, 0.3113, 0.6227)  12 Ru 2.64-2.94
Ru (0.5000, 0.8524, 0.7048)  2 Cu 2.46, 6 Ru 2.64-2.65

=====

c | An optimized crystal structure of CuRu5, computed with PBE-GGA.

Cell lengths 7.1247, 7.1247, 4.3022 Å; angles 90.00, 90.00, 157.86 degrees
With the nearest neighbours (Å) after each atom.
Element x y z (fractional)
Ru (0.1083, 0.8917, 0.5000)  2 Cu 2.64, 10 Ru 2.65-2.75
Ru (0.6683, 0.3317, 0.0000)  10 Ru 2.65-2.74, 2 Cu 2.73
Ru (0.3320, 0.6680, 0.0000)  10 Ru 2.65-2.74, 2 Cu 2.71
Cu (0.9994, 0.0006, 0.0000)  10 Ru 2.64-2.73, 2 Cu 2.74
Ru (0.7791, 0.2209, 0.5000)  12 Ru 2.65-2.75
Ru (0.4463, 0.5537, 0.5000)  8 Ru 2.65-2.74, 4 Cu 2.66

=====

d | An optimized crystal structure of CuRu5, computed with PBE-GGA.

Cell lengths 5.0223, 5.0223, 5.0223 Å; angles 60.00, 60.00, 60.00 degrees
With the nearest neighbours (Å) after each atom.
Element x y z (fractional)
Ru (0.6250, 0.1249, 0.6250)  6 Ru 2.51
Ru (0.6250, 0.6250, 0.1249)  6 Ru 2.51
Ru (0.6250, 0.6250, 0.6250)  6 Ru 2.51
Ru (0.2500, 0.2500, 0.2500)  12 Ru 2.94, 4 Cu 3.08
Ru (0.1249, 0.6250, 0.6250)  6 Ru 2.51
Cu (0.0000, 0.0000, 0.0000)  16 Ru 2.94-3.08

=====

Which structure is the most stable? The one labeled c.

=====

a | An optimized crystal structure of Cu3Ru5, computed with PBE-GGA.

Cell lengths 5.3853, 5.3853, 3.7031 Å; angles 90.00, 90.00, 93.19 degrees
With the nearest neighbours (Å) after each atom.
Element x y z (fractional)
Ru (0.2423, 0.7577, 0.5000)  6 Ru 2.62-2.65, 6 Cu 2.69-2.74
Ru (0.7577, 0.2423, 0.5000)  6 Ru 2.62-2.65, 6 Cu 2.69-2.74
Cu (0.5000, 0.5000, 0.0000)  4 Cu 2.57, 8 Ru 2.69-2.74
Ru (0.0000, 0.0000, 0.0000)  8 Ru 2.65-2.69, 4 Cu 2.66
Ru (0.0000, 0.5000, 0.0000)  6 Ru 2.62-2.69, 6 Cu 2.69
Cu (0.7412, 0.7412, 0.5000)  2 Cu 2.57, 10 Ru 2.66-2.69
Ru (0.5000, 0.0000, 0.0000)  6 Ru 2.62-2.69, 6 Cu 2.69
Cu (0.2588, 0.2588, 0.5000)  2 Cu 2.57, 10 Ru 2.66-2.69

=====

b | An optimized crystal structure of Cu3Ru5, computed with PBE-GGA.

Cell lengths 7.2848, 7.2847, 4.7701 Å; angles 90.00, 90.00, 59.99 degrees
With the nearest neighbours (Å) after each atom.
Element x y z (fractional)
Ru (0.0001, 0.7837, 0.2500)  5 Cu 2.55-2.77, 2 Ru 2.73
Cu (0.0000, 0.4033, 0.2500)  9 Ru 2.52-2.77, 2 Cu 2.77
Ru (0.3333, 0.3333, 0.5000)  2 Ru 2.39, 6 Cu 2.52
Ru (0.6667, 0.6667, 0.5000)  2 Ru 2.39, 6 Cu 2.52
Cu (0.0000, 0.5967, 0.7500)  9 Ru 2.52-2.77, 2 Cu 2.77
Ru (0.7837, 0.0001, 0.7500)  5 Cu 2.55-2.77, 2 Ru 2.73
Ru (0.3333, 0.3333, 0.0000)  2 Ru 2.39, 6 Cu 2.52
Ru (0.2163, 0.7837, 0.7500)  5 Cu 2.55-2.77, 2 Ru 2.73
Ru (0.7838, 0.2163, 0.2500)  5 Cu 2.55-2.77, 2 Ru 2.73
Ru (0.6667, 0.6667, 0.0000)  2 Ru 2.39, 6 Cu 2.52
Cu (0.4033, 0.0000, 0.7500)  9 Ru 2.52-2.77, 2 Cu 2.77
Cu (0.5967, 0.0000, 0.2500)  9 Ru 2.52-2.77, 2 Cu 2.77
Ru (0.2163, 0.9999, 0.2500)  5 Cu 2.55-2.77, 2 Ru 2.73
Ru (0.0000, 0.2163, 0.7500)  5 Cu 2.55-2.77, 2 Ru 2.73
Cu (0.4034, 0.5967, 0.2500)  9 Ru 2.52-2.77, 2 Cu 2.77
Cu (0.5966, 0.4034, 0.7500)  9 Ru 2.52-2.77, 2 Cu 2.77

=====

Which structure is the most stable? The one labeled a.

=====

a | An optimized crystal structure of Cu3RuS, computed with PBE-GGA.

Cell lengths 4.6362, 4.6362, 4.6362 Å; angles 90.00, 90.00, 90.00 degrees
With the nearest neighbours (Å) after each atom.
Element x y z (fractional)
Ru (0.0000, 0.0000, 0.0000)  6 Cu 2.32
Cu (0.5000, 0.0000, 0.0000)  2 Ru 2.32
Cu (0.0000, 0.0000, 0.5000)  2 Ru 2.32
Cu (0.0000, 0.5000, 0.0000)  2 Ru 2.32
S (0.5000, 0.5000, 0.5000)  12 Cu 3.28

=====

b | An optimized crystal structure of Cu3RuS, computed with PBE-GGA.

Cell lengths 4.2231, 4.2231, 4.2231 Å; angles 90.00, 90.00, 90.00 degrees
With the nearest neighbours (Å) after each atom.
Element x y z (fractional)
Ru (0.5000, 0.5000, 0.5000)  12 Cu 2.99
S (0.0000, 0.0000, 0.0000)  6 Cu 2.11
Cu (0.0000, 0.5000, 0.0000)  2 S 2.11
Cu (0.5000, 0.0000, 0.0000)  2 S 2.11
Cu (0.0000, 0.0000, 0.5000)  2 S 2.11

=====

Which structure is the most stable? The one labeled b.

=====

a | An optimized crystal structure of CuSb2Ru, computed with PBE-GGA.

Cell lengths 3.3137, 3.3137, 7.4588 Å; angles 90.00, 90.00, 90.00 degrees
With the nearest neighbours (Å) after each atom.
Element x y z (fractional)
Cu (0.0000, 0.0000, 0.5308)  4 Ru 2.73, 5 Sb 2.73-2.82
Ru (0.5000, 0.5000, 0.7184)  4 Cu 2.73, 5 Sb 2.74-2.81
Sb (0.5000, 0.5000, 0.3423)  4 Cu 2.73, 1 Ru 2.81
Sb (0.0000, 0.0000, 0.9086)  4 Ru 2.74, 1 Cu 2.82

=====

b | An optimized crystal structure of CuSb2Ru, computed with PBE-GGA.

Cell lengths 8.1598, 8.1598, 8.1598 Å; angles 23.51, 23.51, 23.51 degrees
With the nearest neighbours (Å) after each atom.
Element x y z (fractional)
Sb (0.0021, 0.0021, 0.0021)  3 Ru 2.72, 3 Cu 2.80
Sb (0.4979, 0.4979, 0.4979)  3 Ru 2.72, 3 Cu 2.80
Ru (0.7500, 0.7500, 0.7500)  6 Sb 2.72
Cu (0.2500, 0.2500, 0.2500)  6 Sb 2.80

=====

Which structure is the most stable? The one labeled a.

=====

a | An optimized crystal structure of CuSb2Ru, computed with PBE-GGA.

Cell lengths 6.8096, 6.8096, 6.8096 Å; angles 153.58, 145.55, 43.93 degrees
With the nearest neighbours (Å) after each atom.
Element x y z (fractional)
Ru (0.2244, 0.7244, 0.5000)  6 Sb 2.68-2.72
Sb (0.0481, 0.0481, 0.0000)  2 Ru 2.72, 4 Cu 2.91
Sb (0.7906, 0.2906, 0.5000)  4 Ru 2.68, 2 Cu 2.74
Cu (0.4370, 0.4370, 0.0000)  6 Sb 2.74-2.91

=====

b | An optimized crystal structure of CuSb2Ru, computed with PBE-GGA.

Cell lengths 4.6851, 4.6851, 4.6851 Å; angles 60.00, 60.00, 60.00 degrees
With the nearest neighbours (Å) after each atom.
Element x y z (fractional)
Sb (0.7500, 0.7500, 0.7500)  4 Cu 2.87, 4 Ru 2.87
Ru (0.5000, 0.5000, 0.5000)  8 Sb 2.87
Cu (0.0000, 0.0000, 0.0000)  8 Sb 2.87
Sb (0.2500, 0.2500, 0.2500)  4 Ru 2.87, 4 Cu 2.87

=====

Which structure is the most stable? The one labeled a.

=====

a | An optimized crystal structure of CuSb2Ru, computed with PBE-GGA.

Cell lengths 5.2677, 5.2677, 4.2731 Å; angles 90.00, 90.00, 38.47 degrees
With the nearest neighbours (Å) after each atom.
Element x y z (fractional)
Sb (0.2713, 0.2713, 0.3751)  3 Cu 2.64-2.91, 4 Ru 2.83
Sb (0.9878, 0.9878, 0.8750)  3 Ru 2.76-2.82, 4 Cu 2.79-2.80
Ru (0.7042, 0.7042, 0.8750)  2 Cu 2.71, 7 Sb 2.76-2.83
Cu (0.5368, 0.5368, 0.3749)  7 Sb 2.64-2.91, 2 Ru 2.71

=====

b | An optimized crystal structure of CuSb2Ru, computed with PBE-GGA.

Cell lengths 3.1947, 3.1592, 7.8388 Å; angles 91.00, 90.00, 90.00 degrees
With the nearest neighbours (Å) after each atom.
Element x y z (fractional)
Cu (0.5000, 0.2500, 0.2500)  4 Sb 2.73
Sb (0.0000, 0.2601, 0.9679)  2 Cu 2.73, 4 Ru 2.82
Ru (0.5000, 0.7500, 0.7500)  8 Sb 2.82, 2 Ru 3.16
Sb (0.0000, 0.2399, 0.5321)  2 Cu 2.73, 4 Ru 2.82

=====

c | An optimized crystal structure of CuSb2Ru, computed with PBE-GGA.

Cell lengths 6.1484, 6.1484, 6.9624 Å; angles 63.80, 63.80, 90.00 degrees
With the nearest neighbours (Å) after each atom.
Element x y z (fractional)
Cu (0.5000, 0.5000, 0.0000)  4 Sb 2.59
Sb (0.6311, 0.1250, 0.2500)  2 Ru 2.54, 2 Cu 2.59
Sb (0.8750, 0.8811, 0.7500)  2 Ru 2.54, 2 Cu 2.59
Sb (0.1189, 0.6250, 0.2500)  2 Ru 2.54, 2 Cu 2.59
Ru (0.0000, 0.0000, 0.0000)  4 Sb 2.54
Sb (0.3750, 0.3689, 0.7500)  2 Ru 2.54, 2 Cu 2.59
Cu (0.2500, 0.7500, 0.5000)  4 Sb 2.59
Ru (0.7500, 0.2500, 0.5000)  4 Sb 2.54

=====

Which structure is the most stable? The one labeled a.

=====

a | An optimized crystal structure of CuSb2Ru, computed with PBE-GGA.

Cell lengths 5.4723, 5.4723, 5.4723 Å; angles 137.35, 137.35, 61.89 degrees
With the nearest neighbours (Å) after each atom.
Element x y z (fractional)
Cu (0.5000, 0.5000, 0.0000)  8 Sb 2.81-3.08, 4 Ru 3.08
Ru (0.7500, 0.2500, 0.5000)  8 Sb 2.81-3.08, 4 Cu 3.08
Sb (0.0000, 0.0000, 0.0000)  4 Cu 2.81, 4 Sb 3.08, 4 Ru 3.08
Sb (0.2500, 0.7500, 0.5000)  4 Ru 2.81, 4 Sb 3.08, 4 Cu 3.08

=====

b | An optimized crystal structure of CuSb2Ru, computed with PBE-GGA.

Cell lengths 4.4496, 4.4496, 5.5872 Å; angles 80.48, 80.48, 44.13 degrees
With the nearest neighbours (Å) after each atom.
Element x y z (fractional)
Sb (0.4861, 0.4861, 0.5094)  3 Cu 2.63-2.92, 3 Ru 2.73-2.75
Sb (0.0139, 0.0139, 0.9906)  3 Cu 2.63-2.92, 3 Ru 2.73-2.75
Ru (0.7500, 0.7500, 0.7500)  6 Sb 2.73-2.75
Cu (0.2500, 0.2500, 0.2500)  6 Sb 2.63-2.92

=====

Which structure is the most stable? The one labeled b.

=====

a | An optimized crystal structure of CuSb2Ru, computed with PBE-GGA.

Cell lengths 3.2170, 3.2170, 7.2230 Å; angles 90.00, 90.00, 90.01 degrees
With the nearest neighbours (Å) after each atom.
Element x y z (fractional)
Sb (0.0000, 0.0000, 0.9852)  4 Ru 2.84, 4 Cu 2.97
Ru (0.5000, 0.5000, 0.7500)  8 Sb 2.84
Cu (0.5000, 0.5000, 0.2500)  8 Sb 2.97, 4 Cu 3.22
Sb (0.0000, 0.0000, 0.5148)  4 Ru 2.84, 4 Cu 2.97

=====

b | An optimized crystal structure of CuSb2Ru, computed with PBE-GGA.

Cell lengths 4.7529, 4.7529, 4.7529 Å; angles 60.00, 60.00, 60.00 degrees
With the nearest neighbours (Å) after each atom.
Element x y z (fractional)
Sb (0.0000, 0.0000, 0.0000)  4 Sb 2.91, 4 Ru 2.91
Sb (0.2500, 0.2500, 0.2500)  4 Cu 2.91, 4 Sb 2.91
Cu (0.5000, 0.5000, 0.5000)  4 Ru 2.91, 4 Sb 2.91
Ru (0.7500, 0.7500, 0.7500)  4 Sb 2.91, 4 Cu 2.91

=====

Which structure is the most stable? The one labeled a.